Record 1
{
  "formula": "HoThBi2",
  "functional": "GGA-PBE",
  "state": "optimized geometry",
  "rho_g_cm3": 11.33,
  "ef_mev_per_atom": -544,
  "n_ef_per_ev_cell": 4.27,
  "de_polymorph_mev_per_atom": 153,
  "vol_a3_per_atom": 29.865,
  "total_energy_ev_per_atom": -5.483,
  "lattice": [[-1.756, 0.859, -3.079], [-0.403, -5.554, -1.319], [-5.000, -0.295, 2.769]],
  "species": ["Ho", "Bi", "Th", "Bi"],
  "fractional_positions": [[0.500, 0.500, 0.500], [0.000, 0.500, 0.000], [0.500, 0.000, 0.000], [0.000, 0.000, 0.500]]
}

=====

Record 2
{
  "formula": "Ho2ThBi",
  "functional": "GGA-PBE",
  "state": "optimized geometry",
  "rho_g_cm3": 10.45,
  "ef_mev_per_atom": -213,
  "n_ef_per_ev_cell": 4.20,
  "de_polymorph_mev_per_atom": 131,
  "vol_a3_per_atom": 30.611,
  "total_energy_ev_per_atom": -5.327,
  "lattice": [[-1.212, -3.417, 0.081], [1.285, -2.322, 2.472], [-7.771, 1.013, 7.651]],
  "species": ["Bi", "Th", "Ho", "Ho"],
  "fractional_positions": [[0.000, 0.000, 0.000], [0.500, 0.500, 0.500], [0.253, 0.253, 0.240], [0.747, 0.747, 0.760]]
}

=====

Record 3
{
  "formula": "HoTh2Bi3",
  "functional": "GGA-PBE",
  "state": "optimized geometry",
  "rho_g_cm3": 10.42,
  "ef_mev_per_atom": -646,
  "n_ef_per_ev_cell": 15.34,
  "vol_a3_per_atom": 33.363,
  "total_energy_ev_per_atom": -5.822,
  "lattice": [[7.758, 0.031, -1.435], [-2.973, 7.166, -1.435], [-0.011, -0.017, 14.388]],
  "species": ["Bi", "Bi", "Bi", "Bi", "Bi", "Bi", "Bi", "Th", "Ho", "Ho", "Bi", "Th", "Th", "Th", "Th", "Bi", "Ho", "Bi", "Bi", "Th", "Bi", "Th", "Th", "Ho"],
  "fractional_positions": [[0.166, 0.673, 0.830], [0.923, 0.916, 0.330], [0.327, 0.834, 0.170], [0.010, 0.510, 0.500], [0.407, 0.414, 0.330], [0.664, 0.157, 0.830], [0.490, 0.990, 0.500], [0.832, 0.332, 0.664], [0.084, 0.084, 0.167], [0.334, 0.834, 0.667], [0.240, 0.240, 0.000], [0.582, 0.582, 0.164], [0.668, 0.168, 0.336], [0.749, 0.749, 0.497], [0.251, 0.251, 0.503], [0.586, 0.593, 0.670], [0.166, 0.666, 0.333], [0.760, 0.760, 0.000], [0.843, 0.336, 0.170], [0.999, 0.499, 0.997], [0.084, 0.077, 0.670], [0.418, 0.418, 0.836], [0.501, 0.001, 0.003], [0.916, 0.916, 0.833]]
}

=====

In order of appearance, spin magnetization = 0.0, 0.0, 0.0 μB/f.u..